[1]
# Ho2TmHg PBE-GGA relaxed
data_Ho2TmHg
_cell_length_a 3.5772
_cell_length_b 3.5772
_cell_length_c 10.6854
_cell_angle_alpha 80.36
_cell_angle_beta 80.36
_cell_angle_gamma 60.00
_symmetry_space_group_name_H-M 'P 1'
_symmetry_Int_Tables_number 1
loop_
_symmetry_equiv_pos_as_xyz
'x,y,z'
loop_
_atom_site_label
_atom_site_type_symbol
_atom_site_fract_x
_atom_site_fract_y
_atom_site_fract_z
Hg1 Hg 0.0000 0.0000 0.0000
Ho1 Ho 0.7434 0.7434 0.7697
Ho2 Ho 0.2566 0.2566 0.2303
Tm1 Tm 0.5000 0.5000 0.5000
# Polymorph energy (0 for the lowest one): 0.068 eV per atom
# Calculated density: 10.00 g cm⁻³
# Space group: R-3m (166)
# E_form: -0.15 eV/atom

[2]
# HoTm2Hg6 PBE-GGA relaxed
data_HoTm2Hg6
_cell_length_a 4.4743
_cell_length_b 4.4743
_cell_length_c 13.1093
_cell_angle_alpha 99.83
_cell_angle_beta 99.83
_cell_angle_gamma 90.00
_symmetry_space_group_name_H-M 'P 1'
_symmetry_Int_Tables_number 1
loop_
_symmetry_equiv_pos_as_xyz
'x,y,z'
loop_
_atom_site_label
_atom_site_type_symbol
_atom_site_fract_x
_atom_site_fract_y
_atom_site_fract_z
Hg1 Hg 0.7500 0.2500 0.5000
Hg2 Hg 0.4158 0.9158 0.8315
Hg3 Hg 0.2500 0.7500 0.5000
Hg4 Hg 0.5842 0.0842 0.1685
Hg5 Hg 0.0842 0.5842 0.1685
Hg6 Hg 0.9158 0.4158 0.8315
Tm1 Tm 0.3329 0.3329 0.6658
Tm2 Tm 0.6671 0.6671 0.3342
Ho1 Ho 0.0000 0.0000 0.0000
# Polymorph energy (0 for the lowest one): 0.238 eV per atom
# Calculated density: 11.13 g cm⁻³
# Space group: I4/mmm (139)
# E_form: -0.14 eV/atom

We obtain N(E_F) values of 4.22; 5.99 states/eV/f.u. for the records listed above, in that order.
We obtain VASP energy values of -3.64; -1.84 eV per atom for the records listed above, in that order.